Record 1
DFT (PBE) results for crystalline Pr2TlBr at its relaxed geometry.

Raw formation energy: -755 meV per atom
SG: No. 25
Crystal system: orthorhombic
E above lowest polymorph: 0.000 eV per atom

CIF file:
```
data_Pr2TlBr
_space_group_name_H-M_alt 'P 1'
_space_group_IT_number 1
_cell_length_a 3.809
_cell_length_b 8.880
_cell_length_c 3.806
_cell_angle_alpha 90.00
_cell_angle_beta 90.00
_cell_angle_gamma 90.00
loop_
_space_group_symop_operation_xyz
'x,y,z'
loop_
_atom_site_label
_atom_site_fract_x
_atom_site_fract_y
_atom_site_fract_z
Pr1 0.000 0.225 0.000
Pr2 0.000 0.775 0.000
Tl1 0.500 0.000 0.500
Br1 0.500 0.500 0.002
```

=====

Record 2
DFT (PBE) results for crystalline Mg2NbPb at its relaxed geometry.

SG: No. 166
ΔH_f (0 K): 2.19 eV per formula unit
Crystal system: trigonal

CIF file:
```
data_Mg2NbPb
_space_group_name_H-M_alt 'P 1'
_space_group_IT_number 1
_cell_length_a 11.198
_cell_length_b 11.198
_cell_length_c 11.198
_cell_angle_alpha 16.19
_cell_angle_beta 16.19
_cell_angle_gamma 16.19
loop_
_space_group_symop_operation_xyz
'x,y,z'
loop_
_atom_site_label
_atom_site_fract_x
_atom_site_fract_y
_atom_site_fract_z
Mg1 0.085 0.085 0.085
Mg2 0.915 0.915 0.915
Nb1 0.000 0.000 0.000
Pb1 0.500 0.500 0.500
```

=====

Record 3
DFT (PBE) results for crystalline TlPtSe at its relaxed geometry.

Raw formation energy: -166 meV per atom
SG: No. 156
Crystal system: trigonal

CIF file:
```
data_TlPtSe
_space_group_name_H-M_alt 'P 1'
_space_group_IT_number 1
_cell_length_a 4.228
_cell_length_b 4.228
_cell_length_c 5.038
_cell_angle_alpha 90.00
_cell_angle_beta 90.00
_cell_angle_gamma 120.00
loop_
_space_group_symop_operation_xyz
'x,y,z'
loop_
_atom_site_label
_atom_site_fract_x
_atom_site_fract_y
_atom_site_fract_z
Tl1 0.000 0.000 0.000
Pt1 0.667 0.333 0.522
Se1 0.333 0.667 0.501
```

=====

Record 4
DFT (PBE) results for crystalline Tl2CuIrO6 at its relaxed geometry.

Raw formation energy: -612 meV per atom
SG: No. 1
Crystal system: triclinic

CIF file:
```
data_Tl2CuIrO6
_space_group_name_H-M_alt 'P 1'
_space_group_IT_number 1
_cell_length_a 5.490
_cell_length_b 5.583
_cell_length_c 5.630
_cell_angle_alpha 96.37
_cell_angle_beta 116.69
_cell_angle_gamma 115.49
loop_
_space_group_symop_operation_xyz
'x,y,z'
loop_
_atom_site_label
_atom_site_fract_x
_atom_site_fract_y
_atom_site_fract_z
Tl1 0.000 0.000 0.000
Tl2 0.038 0.538 0.466
Cu1 0.549 0.819 0.242
Ir1 0.471 0.250 0.763
O1 0.010 0.141 0.555
O2 0.328 0.910 0.884
O3 0.359 0.982 0.415
O4 0.554 0.478 0.115
O5 0.567 0.570 0.639
O6 0.921 0.364 0.000
```